Compound: Sm2Y5Er5
Source: Alexandria via LeMat-Bulk
Functional: PBE-GGA
Structure: relaxed

Results
As for the energy of formation from the pure elements: 0.0243 eV per atom. The polymorph energy (0 for the lowest one) comes out at 0 meV per atom. The space group is No. 12.

Cell and atoms, written as POSCAR:
```
Sm2Y5Er5
1.0
7.5379 -2.5117 0.0000
7.5379 2.5117 0.0000
-5.0250 0.0000 10.0583
Sm Y Er
2 5 5
direct
0.0833 0.0833 0.2485
0.9167 0.9167 0.7515
0.3337 0.3337 0.5002
0.4155 0.4155 0.2495
0.5000 0.5000 0.0000
0.5845 0.5845 0.7505
0.6663 0.6663 0.4998
0.0000 0.0000 0.5000
0.1679 0.1679 0.0005
0.2496 0.2496 0.7508
0.7504 0.7504 0.2492
0.8321 0.8321 0.9995
```

***

Compound: Pm6PrDyHo2
Source: Alexandria via LeMat-Bulk
Functional: PBE-GGA
Structure: relaxed

Results
As for the energy of formation from the pure elements: 0.1151 eV per atom. The space group is No. 15.

Cell and atoms, written as POSCAR:
```
Pm6PrDyHo2
1.0
4.6476 -7.6179 0.0000
4.6476 7.6179 0.0000
-1.1590 0.0000 9.5881
Pm Pr Dy Ho
12 2 2 4
direct
0.0105 0.5615 0.1843
0.1161 0.7571 0.5556
0.2429 0.8839 0.9444
0.2937 0.5137 0.3820
0.4385 0.9895 0.3157
0.4863 0.7063 0.1180
0.5137 0.2937 0.8820
0.5615 0.0105 0.6843
0.7063 0.4863 0.6180
0.7571 0.1161 0.0556
0.8839 0.2429 0.4444
0.9895 0.4385 0.8157
0.0289 0.9711 0.2500
0.9711 0.0289 0.7500
0.4102 0.5898 0.7500
0.5898 0.4102 0.2500
0.2021 0.3009 0.0480
0.3009 0.2021 0.5480
0.6991 0.7979 0.4520
0.7979 0.6991 0.9520
```

***

Compound: K3PuTh3Te8
Source: Alexandria via LeMat-Bulk
Functional: PBE-GGA
Structure: relaxed

Results
The calculation puts the energy at -5.51 eV per atom. The space group is No. 166.

Cell and atoms, written as POSCAR:
```
K3PuTh3Te8
1.0
4.5112 2.6045 8.4433
-4.5112 2.6045 8.4433
0.0000 -5.2091 8.4433
K Pu Th Te
3 1 3 8
direct
0.0000 0.5000 0.5000
0.5000 0.0000 0.5000
0.5000 0.5000 0.0000
0.5000 0.5000 0.5000
0.0000 0.0000 0.5000
0.0000 0.5000 0.0000
0.5000 0.0000 0.0000
0.2322 0.7407 0.7407
0.2396 0.2396 0.2396
0.2593 0.2593 0.7678
0.2593 0.7678 0.2593
0.7407 0.2322 0.7407
0.7407 0.7407 0.2322
0.7604 0.7604 0.7604
0.7678 0.2593 0.2593
```

***

Compound: Tb2Y6Er
Source: Alexandria via LeMat-Bulk
Functional: PBE-GGA
Structure: relaxed

Results
As for the energy of formation from the pure elements: 0.0706 eV per atom. The space group is No. 15.

Cell and atoms, written as POSCAR:
```
Tb2Y6Er
1.0
6.7106 -5.8631 0.0000
6.7106 5.8631 0.0000
-5.2720 0.0000 7.3654
Tb Y Er
4 12 2
direct
0.0920 0.2862 0.4276
0.2862 0.0920 0.9276
0.7138 0.9080 0.0724
0.9080 0.7138 0.5724
0.0999 0.8394 0.0425
0.1113 0.4417 0.8572
0.1606 0.9001 0.4575
0.3111 0.4840 0.3098
0.4417 0.1113 0.3572
0.4840 0.3111 0.8098
0.5160 0.6889 0.1902
0.5583 0.8887 0.6428
0.6889 0.5160 0.6902
0.8394 0.0999 0.5425
0.8887 0.5583 0.1428
0.9001 0.1606 0.9575
0.3260 0.6740 0.7500
0.6740 0.3260 0.2500
```

***

Compound: BaSm2Zn
Source: Alexandria via LeMat-Bulk
Functional: PBE-GGA
Structure: relaxed

Results
As for the energy of formation from the pure elements: 0.1464 eV per atom. The polymorph energy (0 for the lowest one) comes out at 190 meV per atom. The space group is No. 166.

Cell and atoms, written as POSCAR:
```
BaSm2Zn
1.0
3.7415 0.0000 0.0000
-1.8707 3.2402 0.0000
0.0000 0.0000 35.1121
Ba Sm Zn
3 6 3
direct
0.0000 0.0000 0.0000
0.3333 0.6667 0.6667
0.6667 0.3333 0.3333
0.0000 0.0000 0.1062
0.0000 0.0000 0.8938
0.3333 0.6667 0.5604
0.3333 0.6667 0.7729
0.6667 0.3333 0.2271
0.6667 0.3333 0.4396
0.0000 0.0000 0.5000
0.3333 0.6667 0.1667
0.6667 0.3333 0.8333
```

***

Compound: NdGeN2
Source: Alexandria via LeMat-Bulk
Functional: PBE-GGA
Structure: relaxed

Results
The calculation puts the energy at -7.15 eV per atom. The space group is No. 15.

Cell and atoms, written as POSCAR:
```
NdGeN2
1.0
6.3723 -3.8086 0.0000
6.3723 3.8086 0.0000
-4.8584 0.0000 10.8456
Nd Ge N
8 8 16
direct
0.0572 0.7375 0.5632
0.2625 0.9428 0.9368
0.2644 0.4151 0.8506
0.4151 0.2644 0.3506
0.5849 0.7356 0.6494
0.7356 0.5849 0.1494
0.7375 0.0572 0.0632
0.9428 0.2625 0.4368
0.0596 0.7772 0.3270
0.2228 0.9404 0.1730
0.3124 0.4692 0.1249
0.4692 0.3124 0.6249
0.5308 0.6876 0.3751
0.6876 0.5308 0.8751
0.7772 0.0596 0.8270
0.9404 0.2228 0.6730
0.0139 0.9861 0.2500
0.1168 0.5144 0.2077
0.2258 0.3604 0.5009
0.2735 0.6745 0.0481
0.3255 0.7265 0.4519
0.3604 0.2258 0.0009
0.4196 0.5804 0.7500
0.4856 0.8832 0.2923
0.5144 0.1168 0.7077
0.5804 0.4196 0.2500
0.6396 0.7742 0.9991
0.6745 0.2735 0.5481
0.7265 0.3255 0.9519
0.7742 0.6396 0.4991
0.8832 0.4856 0.7923
0.9861 0.0139 0.7500
```

***

Compound: ZrNbSn2Ge
Source: Alexandria via LeMat-Bulk
Functional: PBE-GGA
Structure: relaxed

Results
As for the energy of formation from the pure elements: 0.6545 eV per atom. The space group is No. 123.

Cell and atoms, written as POSCAR:
```
ZrNbSn2Ge
1.0
5.2912 0.0000 0.0000
0.0000 5.2912 0.0000
0.0000 0.0000 4.8666
Zr Nb Sn Ge
1 1 2 1
direct
0.0000 0.0000 0.0000
0.5000 0.5000 0.5000
0.0000 0.5000 0.5000
0.5000 0.0000 0.5000
0.5000 0.5000 0.0000
```

***

Compound: Tb12Dy5Lu3
Source: Alexandria via LeMat-Bulk
Functional: PBE-GGA
Structure: relaxed

Results
As for the energy of formation from the pure elements: 1.0532 eV per atom. The space group is No. 230.

Cell and atoms, written as POSCAR:
```
Tb12Dy5Lu3
1.0
-9.3476 9.3476 9.3476
9.3476 -9.3476 9.3476
9.3476 9.3476 -9.3476
Tb Dy Lu
48 20 12
direct
0.0638 0.6393 0.4110
0.0638 0.9245 0.6528
0.0755 0.2283 0.1393
0.0755 0.3472 0.9362
0.0890 0.7283 0.6528
0.0890 0.8607 0.4362
0.1393 0.0755 0.2283
0.1393 0.5638 0.9110
0.1528 0.2283 0.5890
0.1528 0.4245 0.5638
0.2283 0.1393 0.0755
0.2283 0.5890 0.1528
0.2717 0.3472 0.9110
0.2717 0.4245 0.3607
0.3472 0.9110 0.2717
0.3472 0.9362 0.0755
0.3607 0.2717 0.4245
0.3607 0.5890 0.9362
0.4110 0.0638 0.6393
0.4110 0.8472 0.7717
0.4245 0.3607 0.2717
0.4245 0.5638 0.1528
0.4362 0.0890 0.8607
0.4362 0.8472 0.5755
0.5638 0.1528 0.4245
0.5638 0.9110 0.1393
0.5755 0.4362 0.8472
0.5755 0.6393 0.7283
0.5890 0.1528 0.2283
0.5890 0.9362 0.3607
0.6393 0.4110 0.0638
0.6393 0.7283 0.5755
0.6528 0.0638 0.9245
0.6528 0.0890 0.7283
0.7283 0.5755 0.6393
0.7283 0.6528 0.0890
0.7717 0.4110 0.8472
0.7717 0.8607 0.9245
0.8472 0.5755 0.4362
0.8472 0.7717 0.4110
0.8607 0.4362 0.0890
0.8607 0.9245 0.7717
0.9110 0.1393 0.5638
0.9110 0.2717 0.3472
0.9245 0.6528 0.0638
0.9245 0.7717 0.8607
0.9362 0.0755 0.3472
0.9362 0.3607 0.5890
0.0000 0.0000 0.0000
0.0000 0.0000 0.5000
0.0000 0.5000 0.0000
0.0000 0.5000 0.5000
0.1250 0.7500 0.8750
0.1250 0.8750 0.2500
0.2500 0.1250 0.8750
0.2500 0.6250 0.3750
0.3750 0.2500 0.6250
0.3750 0.6250 0.7500
0.5000 0.0000 0.0000
0.5000 0.0000 0.5000
0.5000 0.5000 0.0000
0.5000 0.5000 0.5000
0.6250 0.3750 0.2500
0.6250 0.7500 0.3750
0.7500 0.3750 0.6250
0.7500 0.8750 0.1250
0.8750 0.1250 0.7500
0.8750 0.2500 0.1250
0.1250 0.2500 0.3750
0.1250 0.3750 0.7500
0.2500 0.3750 0.1250
0.2500 0.8750 0.6250
0.3750 0.1250 0.2500
0.3750 0.7500 0.1250
0.6250 0.2500 0.8750
0.6250 0.8750 0.7500
0.7500 0.1250 0.3750
0.7500 0.6250 0.8750
0.8750 0.6250 0.2500
0.8750 0.7500 0.6250
```